(1)
Compound: Mn3Ga3N5
Source: the Alexandria database
Functional: PBE-GGA
Structure: relaxed

Properties
Calculated volume (Å³/cell): 273.39
Space-group type: P-1
Spin magnetization (μB/f.u.): 2.086
Energy (eV for the cell shown): -157.41
Density (kg/m³): 5394

Unit cell a=6.3327 b=5.9634 c=7.8718 alpha=91.30 beta=110.45 gamma=99.79
Element x y z (fractional)
Mn1 0.8318 0.3613 0.7038
Mn2 0.3595 0.4715 0.7228
Mn3 0.6405 0.5285 0.2772
Mn4 0.2293 0.7027 0.9297
Mn5 0.7707 0.2973 0.0703
Mn6 0.1682 0.6387 0.2962
N1 0.7472 0.0491 0.5806
N2 0.1418 0.3819 0.8304
N3 0.5156 0.2285 0.1629
N4 0.3982 0.6913 0.1950
N5 0.2409 0.4726 0.4845
N6 0.7591 0.5274 0.5155
N7 0.6018 0.3087 0.8050
N8 0.4844 0.7715 0.8371
N9 0.8582 0.6181 0.1696
N10 0.2528 0.9509 0.4194
Ga1 0.7940 0.8764 0.0240
Ga2 0.2060 0.1236 0.9760
Ga3 0.9193 0.8169 0.6728
Ga4 0.0807 0.1831 0.3272
Ga5 0.4692 0.0003 0.6684
Ga6 0.5308 0.9997 0.3316

=====

(2)
Compound: Mn4Ga2N
Source: the Alexandria database
Functional: PBE-GGA
Structure: relaxed

Properties
Calculated volume (Å³/cell): 89.50
Space-group type: I4/mmm
Spin magnetization (μB/f.u.): 8.409
Energy (eV for the cell shown): -51.85
Density (kg/m³): 6924

Unit cell a=3.7149 b=3.7149 c=6.9970 alpha=74.61 beta=74.61 gamma=90.00
Element x y z (fractional)
Ga1 0.6445 0.6445 0.7110
Ga2 0.3555 0.3555 0.2890
N1 0.0000 0.0000 0.0000
Mn1 0.1614 0.1614 0.6772
Mn2 0.5000 0.0000 0.0000
Mn3 0.8386 0.8386 0.3228
Mn4 0.0000 0.5000 0.0000

=====

(3)
Compound: MnGa3N
Source: the Alexandria database
Functional: PBE-GGA
Structure: relaxed

Properties
Calculated volume (Å³/cell): 73.65
Space-group type: Pm-3m
Spin magnetization (μB/f.u.): 0.000
Energy (eV for the cell shown): -22.54
Energy relative to the lowest polymorph listed for this composition (meV/atom): 0
Density (kg/m³): 6271

Unit cell a=4.1917 b=4.1917 c=4.1917 alpha=90.00 beta=90.00 gamma=90.00
Element x y z (fractional)
Mn1 0.5000 0.5000 0.5000
Ga1 0.0000 0.5000 0.0000
Ga2 0.0000 0.0000 0.5000
Ga3 0.5000 0.0000 0.0000
N1 0.0000 0.0000 0.0000